# 1
Material: La2Nd6Y3Er
Method: DFT, PBE
State: optimized geometry

abc: 6.333 10.973 12.061
angles: 90.00 100.10 90.00
Space group C2/m (No. 12)
Symmetry-distinct sites (fractional):
La 0.000 0.167 0.000 [4 per cell]
Nd 0.248 0.500 0.747 [4 per cell]
Nd 0.250 0.166 0.747 [8 per cell]
Y 0.000 0.000 0.500 [2 per cell]
Y 0.000 0.334 0.500 [4 per cell]
Er 0.000 0.500 0.000 [2 per cell]



# 2
Material: LaNdErZn
Method: DFT, PBE
State: optimized geometry

abc: 7.749 7.749 7.749
angles: 90.00 90.00 90.00
Space group F-43m (No. 216)
Symmetry-distinct sites (fractional):
La 0.000 0.000 0.000 [4 per cell]
Nd 0.000 0.000 0.500 [4 per cell]
Er 0.250 0.250 0.250 [4 per cell]
Zn 0.250 0.250 0.750 [4 per cell]



# 3
Material: LaNdErZn
Method: DFT, PBE
State: optimized geometry

abc: 3.642 3.642 8.832
angles: 90.00 90.00 90.00
Space group P4mm (No. 99)
Symmetry-distinct sites (fractional):
La 0.000 0.000 0.000 [1 per cell]
Nd 0.500 0.500 0.692 [1 per cell]
Er 0.500 0.500 0.290 [1 per cell]
Zn 0.000 0.000 0.474 [1 per cell]



# 4
Material: LaEr3Ni2
Method: DFT, PBE
State: optimized geometry

abc: 16.183 3.917 11.554
angles: 90.00 124.44 90.00
Space group C2/m (No. 12)
Symmetry-distinct sites (fractional):
La 0.152 0.000 0.247 [4 per cell]
Er 0.082 0.500 0.448 [4 per cell]
Er 0.086 0.500 0.937 [4 per cell]
Er 0.153 0.000 0.748 [4 per cell]
Ni 0.231 0.000 0.554 [4 per cell]
Ni 0.232 0.000 0.048 [4 per cell]



# 5
Material: La2ErNi
Method: DFT, PBE
State: optimized geometry

abc: 7.038 10.168 6.426
angles: 90.00 90.00 90.00
Space group Pnma (No. 62)
Symmetry-distinct sites (fractional):
La 0.176 0.068 0.176 [8 per cell]
Er 0.039 0.250 0.662 [4 per cell]
Ni 0.118 0.750 0.943 [4 per cell]



# 6
Material: La2ErNi
Method: DFT, PBE
State: optimized geometry

abc: 3.7131 3.7131 31.4232
angles: 90.00 90.00 120.00
Space group R-3m (No. 166, hexagonal axes)
Symmetry-distinct sites (fractional):
La 0.0000 0.0000 0.1096 [6 per cell]
Er 0.0000 0.0000 0.0000 [3 per cell]
Ni 0.0000 0.0000 0.5000 [3 per cell]



# 7
Material: La2ErNi
Method: DFT, PBE
State: optimized geometry

abc: 3.8649 3.8649 27.9919
angles: 90.00 90.00 120.00
Space group R3m (No. 160, hexagonal axes)
Symmetry-distinct sites (fractional):
La 0.0000 0.0000 0.0000 [3 per cell]
La 0.0000 0.0000 0.2085 [3 per cell]
Er 0.0000 0.0000 0.7717 [3 per cell]
Ni 0.0000 0.0000 0.6044 [3 per cell]



# 8
Material: LaEr2Ni9
Method: DFT, PBE
State: optimized geometry

abc: 5.0026 5.0026 24.3076
angles: 90.00 90.00 120.00
Space group R-3m (No. 166, hexagonal axes)
Symmetry-distinct sites (fractional):
La 0.0000 0.0000 0.0000 [3 per cell]
Er 0.0000 0.0000 0.1403 [6 per cell]
Ni 0.0000 0.0000 0.3328 [6 per cell]
Ni 0.0000 0.0000 0.5000 [3 per cell]
Ni 0.0015 0.5008 0.9159 [18 per cell]



# 9
Material: LaErNi4
Method: DFT, PBE
State: optimized geometry

abc: 7.252 7.252 7.252
angles: 90.00 90.00 90.00
Space group F-43m (No. 216)
Symmetry-distinct sites (fractional):
La 0.000 0.000 0.000 [4 per cell]
Er 0.250 0.250 0.750 [4 per cell]
Ni 0.124 0.124 0.376 [16 per cell]



# 10
Material: LaEr4Ni4
Method: DFT, PBE
State: optimized geometry

abc: 8.635 8.635 5.542
angles: 90.00 90.00 90.00
Space group P4_2/n (No. 86, origin choice 2)
Symmetry-distinct sites (fractional):
La 0.250 0.250 0.250 [2 per cell]
Er 0.076 0.659 0.156 [8 per cell]
Ni 0.033 0.613 0.646 [8 per cell]



# 11
Material: La3ErNi
Method: DFT, PBE
State: optimized geometry

abc: 5.532 5.532 5.532
angles: 90.00 90.00 90.00
Space group Pm-3m (No. 221)
Symmetry-distinct sites (fractional):
La 0.000 0.000 0.500 [3 per cell]
Er 0.500 0.500 0.500 [1 per cell]
Ni 0.000 0.000 0.000 [1 per cell]



# 12
Material: LaErNi2
Method: DFT, PBE
State: optimized geometry

abc: 6.902 6.902 6.902
angles: 90.00 90.00 90.00
Space group Fm-3m (No. 225)
Symmetry-distinct sites (fractional):
La 0.000 0.000 0.000 [4 per cell]
Er 0.000 0.000 0.500 [4 per cell]
Ni 0.250 0.250 0.250 [8 per cell]



# 13
Material: La2ErNi9
Method: DFT, PBE
State: optimized geometry

abc: 4.9825 4.9825 25.1213
angles: 90.00 90.00 120.00
Space group R-3m (No. 166, hexagonal axes)
Symmetry-distinct sites (fractional):
La 0.0000 0.0000 0.1374 [6 per cell]
Er 0.0000 0.0000 0.0000 [3 per cell]
Ni 0.0000 0.0000 0.3327 [6 per cell]
Ni 0.0000 0.0000 0.5000 [3 per cell]
Ni 0.0011 0.5005 0.0788 [18 per cell]



# 14
Material: LaErNi2
Method: DFT, PBE
State: optimized geometry

abc: 4.338 3.768 10.333
angles: 90.00 90.00 90.00
Space group Amm2 (No. 38)
Symmetry-distinct sites (fractional):
La 0.000 0.000 0.000 [2 per cell]
Er 0.500 0.000 0.275 [2 per cell]
Ni 0.000 0.000 0.718 [2 per cell]
Ni 0.500 0.000 0.571 [2 per cell]



# 15
Material: La2ErNi
Method: DFT, PBE
State: optimized geometry

abc: 3.646 3.646 8.513
angles: 90.00 90.00 90.00
Space group P4/mmm (No. 123)
Symmetry-distinct sites (fractional):
La 0.000 0.000 0.196 [2 per cell]
Er 0.500 0.500 0.500 [1 per cell]
Ni 0.500 0.500 0.000 [1 per cell]



# 16
Material: LaEr3Ni
Method: DFT, PBE
State: optimized geometry

abc: 5.307 5.307 5.307
angles: 90.00 90.00 90.00
Space group Pm-3m (No. 221)
Symmetry-distinct sites (fractional):
La 0.000 0.000 0.000 [1 per cell]
Er 0.000 0.500 0.500 [3 per cell]
Ni 0.500 0.500 0.500 [1 per cell]



# 17
Material: La2Er3Ni2
Method: DFT, PBE
State: optimized geometry

abc: 12.369 3.627 9.111
angles: 90.00 116.91 90.00
Space group C2/m (No. 12)
Symmetry-distinct sites (fractional):
La 0.166 0.000 0.310 [4 per cell]
Er 0.000 0.500 0.500 [2 per cell]
Er 0.118 0.500 0.930 [4 per cell]
Ni 0.168 0.000 0.742 [4 per cell]



# 18
Material: LaEr2Ni9
Method: DFT, PBE
State: optimized geometry

abc: 5.0049 5.0049 16.1754
angles: 90.00 90.00 120.00
Space group P6_3/mmc (No. 194)
Symmetry-distinct sites (fractional):
La 0.3333 0.6667 0.2500 [2 per cell]
Er 0.3333 0.6667 0.0398 [4 per cell]
Ni 0.0000 0.0000 0.0000 [2 per cell]
Ni 0.0000 0.0000 0.2500 [2 per cell]
Ni 0.1676 0.3351 0.6239 [12 per cell]
Ni 0.3333 0.6667 0.7500 [2 per cell]



# 19
Material: LaErNi10
Method: DFT, PBE
State: optimized geometry

abc: 3.967 4.926 8.536
angles: 90.00 90.00 90.00
Space group Pmmm (No. 47)
Symmetry-distinct sites (fractional):
La 0.000 0.000 0.000 [1 per cell]
Er 0.000 0.500 0.500 [1 per cell]
Ni 0.000 0.000 0.338 [2 per cell]
Ni 0.000 0.500 0.173 [2 per cell]
Ni 0.500 0.000 0.500 [1 per cell]
Ni 0.500 0.254 0.257 [4 per cell]
Ni 0.500 0.500 0.000 [1 per cell]



# 20
Material: La2Er2Ni15
Method: DFT, PBE
State: optimized geometry

abc: 8.6052 8.6052 12.7123
angles: 90.00 90.00 120.00
Space group R-3m (No. 166, hexagonal axes)
Symmetry-distinct sites (fractional):
La 0.0000 0.0000 0.1417 [6 per cell]
Er 0.0000 0.0000 0.3893 [6 per cell]
Ni 0.0000 0.3025 0.5000 [18 per cell]
Ni 0.0000 0.5000 0.0000 [9 per cell]
Ni 0.0059 0.5029 0.6565 [18 per cell]



Number 1: formation energy 16 meV/atom, total DFT energy (no corrections) -5.186 eV per atom. Number 2: formation energy 9 meV/atom, total DFT energy (no corrections) -3.874 eV per atom. Number 3: formation energy -148 meV/atom, total DFT energy (no corrections) -4.031 eV per atom. Number 4: formation energy -276 meV/atom, total DFT energy (no corrections) -5.305 eV per atom. Number 5: formation energy -193 meV/atom, total DFT energy (no corrections) -5.243 eV per atom. Number 6: formation energy 110 meV/atom, total DFT energy (no corrections) -4.940 eV per atom. Number 7: formation energy -42 meV/atom, total DFT energy (no corrections) -5.092 eV per atom. Number 8: formation energy -406 meV/atom, total DFT energy (no corrections) -5.913 eV per atom. Number 9: formation energy -389 meV/atom, total DFT energy (no corrections) -5.825 eV per atom. Number 10: formation energy -290 meV/atom, total DFT energy (no corrections) -5.435 eV per atom. Number 11: formation energy 31 meV/atom, total DFT energy (no corrections) -4.994 eV per atom. Number 12: formation energy -304 meV/atom, total DFT energy (no corrections) -5.568 eV per atom. Number 13: formation energy -348 meV/atom, total DFT energy (no corrections) -5.886 eV per atom. Number 14: formation energy -394 meV/atom, total DFT energy (no corrections) -5.657 eV per atom. Number 15: formation energy -62 meV/atom, total DFT energy (no corrections) -5.112 eV per atom. Number 16: formation energy -111 meV/atom, total DFT energy (no corrections) -4.991 eV per atom. Number 17: formation energy -251 meV/atom, total DFT energy (no corrections) -5.267 eV per atom. Number 18: formation energy -408 meV/atom, total DFT energy (no corrections) -5.915 eV per atom. Number 19: formation energy -307 meV/atom, total DFT energy (no corrections) -5.916 eV per atom. Number 20: formation energy -231 meV/atom, total DFT energy (no corrections) -5.794 eV per atom.